No. 1
GGA-PBE LiPt2Pb, optimized geometry; space group = I-4m2 (119)
1.0
-2.022 2.022 4.177
2.022 -2.022 4.177
2.022 2.022 -4.177
Li Pt Pb
1 2 1
direct
0.000 0.000 0.000
0.250 0.750 0.500
0.500 0.500 0.000
0.750 0.250 0.500

=====

No. 2
GGA-PBE LiPtPb2, optimized geometry; space group = Cm (8); energy above the lowest structure with this stoichiometry = 0.040 eV per atom
1.0
3.832 -2.221 0.000
3.832 2.221 0.000
-2.576 0.000 5.370
Li Pt Pb
1 1 2
direct
0.000 0.000 0.000
0.345 0.345 0.033
0.572 0.572 0.719
0.774 0.774 0.318

=====

No. 3
GGA-PBE LiPt2Pb, optimized geometry; space group = P4mm (99)
1.0
3.522 0.000 0.000
0.000 3.522 0.000
0.000 0.000 5.666
Li Pt Pb
1 2 1
direct
0.000 0.000 0.000
0.000 0.000 0.546
0.500 0.500 0.812
0.500 0.500 0.301

=====

No. 4
GGA-PBE Li2Pt2Pb, optimized geometry; space group = P4/mbm (127); energy above the lowest structure with this stoichiometry = 0.036 eV per atom
1.0
7.466 0.000 0.000
0.000 7.466 0.000
0.000 0.000 2.928
Li Pt Pb
4 4 2
direct
0.117 0.383 0.000
0.383 0.883 0.000
0.617 0.117 0.000
0.883 0.617 0.000
0.177 0.677 0.500
0.323 0.177 0.500
0.677 0.823 0.500
0.823 0.323 0.500
0.000 0.000 0.000
0.500 0.500 0.000

=====

No. 5
GGA-PBE LiPt3Pb, optimized geometry; space group = Pm-3m (221); energy above the lowest structure with this stoichiometry = 0.597 eV per atom
1.0
5.116 0.000 0.000
0.000 5.116 0.000
0.000 0.000 5.116
Li Pt Pb
1 3 1
direct
0.000 0.000 0.000
0.000 0.500 0.500
0.500 0.000 0.500
0.500 0.500 0.000
0.500 0.500 0.500

=====

No. 6
GGA-PBE Li6PtPb2, optimized geometry; space group = C2/m (12)
1.0
6.679 -3.849 0.000
6.679 3.849 0.000
-0.026 0.000 3.082
Li Pt Pb
6 1 2
direct
0.186 0.500 0.000
0.187 0.813 0.000
0.500 0.186 0.000
0.500 0.814 0.000
0.813 0.187 0.000
0.814 0.500 0.000
0.500 0.500 0.500
0.166 0.166 0.500
0.834 0.834 0.500

=====

No. 7
GGA-PBE Li6PtPb, optimized geometry; space group = Amm2 (38)
1.0
4.709 0.000 0.000
0.000 2.871 4.949
0.000 -2.871 4.949
Li Pt Pb
6 1 1
direct
0.000 0.000 0.000
0.000 0.001 0.459
0.000 0.459 0.001
0.500 0.161 0.652
0.500 0.652 0.161
0.500 0.652 0.652
0.500 0.154 0.154
0.000 0.487 0.487

=====

No. 8
GGA-PBE LiPt2Pb, optimized geometry; space group = F-43m (216)
1.0
0.000 3.259 3.259
3.259 0.000 3.259
3.259 3.259 0.000
Li Pt Pb
1 2 1
direct
0.000 0.000 0.000
0.500 0.500 0.500
0.750 0.750 0.750
0.250 0.250 0.250

=====

| no. | energy of formation (meV/atom) |
| --- | --- |
| 1 | -330 |
| 2 | -216 |
| 3 | -227 |
| 4 | -344 |
| 5 | 848 |
| 6 | -298 |
| 7 | -294 |
| 8 | -270 |